Record 1
This record from Alexandria via LeMat-Bulk describes GaPt2PbN after structural relaxation. The functional is PBE-GGA. Values from VASP.

Summary:
Its formation energy without anion corrections is 3.1 eV per formula unit.

The structure in Quantum ESPRESSO input format:
```
&SYSTEM
  ibrav = 0, nat = 5, ntyp = 4
/
ATOMIC_SPECIES
Ga 69.72 Ga.upf
Pt 195.08 Pt.upf
Pb 207.20 Pb.upf
N 14.01 N.upf
ATOMIC_POSITIONS angstrom
Ga 0.000 0.000 0.000
Pt 0.000 2.465 0.000
Pt 2.465 0.000 0.000
Pb 2.465 2.465 1.889
N 0.000 0.000 1.889
CELL_PARAMETERS angstrom
4.930 0.000 0.000
0.000 4.930 0.000
0.000 0.000 3.778
```



Record 2
This record from Alexandria via LeMat-Bulk describes NdTmGe2Rh5 after structural relaxation. The functional is PBE-GGA. Values from VASP.

Summary:
The calculation puts the energy of formation from the pure elements at -0.676 eV/atom.

The structure in Quantum ESPRESSO input format:
```
&SYSTEM
  ibrav = 0, nat = 9, ntyp = 4
/
ATOMIC_SPECIES
Nd 144.24 Nd.upf
Tm 168.93 Tm.upf
Ge 72.64 Ge.upf
Rh 102.91 Rh.upf
ATOMIC_POSITIONS angstrom
Nd 0.000 0.000 0.000
Tm 0.000 0.000 4.481
Ge 2.106 2.106 3.239
Ge 2.106 2.106 5.723
Rh 0.000 2.106 2.105
Rh 0.000 2.106 6.857
Rh 2.106 0.000 2.105
Rh 2.106 0.000 6.857
Rh 2.106 2.106 0.000
CELL_PARAMETERS angstrom
4.211 0.000 0.000
0.000 4.211 0.000
0.000 0.000 8.962
```